# 1
A plane-wave DFT calculation with PBE was carried out for MnZnTcMo after structural relaxation.

abc: 4.306 4.306 4.306
angles: 60.00 60.00 60.00
Sites, in units of the cell vectors:
Mn: 0.000 0.000 0.000
Zn: 0.750 0.750 0.750
Tc: 0.500 0.500 0.500
Mo: 0.250 0.250 0.250

- Total moment: 1.99 Bohr magnetons per cell
- Formation enthalpy at 0 K: 94 meV/atom


# 2
A plane-wave DFT calculation with PBE was carried out for MnTeMo2 after structural relaxation.

abc: 3.031 4.228 5.282
angles: 90.00 105.59 90.00
Sites, in units of the cell vectors:
Mn: 0.000 0.000 0.000
Te: 0.941 0.500 0.715
Mo: 0.338 0.000 0.447
Mo: 0.635 0.500 0.187

- Total moment: 0.00 Bohr magnetons per cell
- Raw formation energy: 0.4608 eV per atom


# 3
A plane-wave DFT calculation with PBE was carried out for MnTeMo2 after structural relaxation.

abc: 3.356 3.356 6.027
angles: 90.00 90.00 90.00
Sites, in units of the cell vectors:
Mn: 0.000 0.000 0.000
Te: 0.500 0.500 0.741
Mo: 0.000 0.000 0.456
Mo: 0.500 0.500 0.221

- Total moment: 3.31 Bohr magnetons per cell
- Raw formation energy: 0.2897 eV per atom


# 4
A plane-wave DFT calculation with PBE was carried out for MnTeMo after structural relaxation.

abc: 4.297 4.297 3.161
angles: 90.00 90.00 120.00
Sites, in units of the cell vectors:
Mn: 0.000 0.000 0.000
Te: 0.333 0.667 0.861
Mo: 0.667 0.333 0.376

- Energy above the most stable polymorph in this dataset: 346 meV/atom
- Total moment: 1.10 Bohr magnetons per cell
- Raw formation energy: 0.5199 eV per atom


# 5
A plane-wave DFT calculation with PBE was carried out for MnTeMo2 after structural relaxation.

abc: 5.134 5.134 5.134
angles: 136.79 136.79 62.77
Sites, in units of the cell vectors:
Mn: 0.000 0.000 0.000
Te: 0.500 0.500 0.000
Mo: 0.250 0.750 0.500
Mo: 0.750 0.250 0.500

- Total moment: 0.23 Bohr magnetons per cell
- Raw formation energy: 0.4024 eV per atom


# 6
A plane-wave DFT calculation with PBE was carried out for MnTe4Mo after structural relaxation.

abc: 6.549 6.549 3.785
angles: 90.00 90.00 91.90
Sites, in units of the cell vectors:
Mn: 0.000 0.000 0.000
Te: 0.202 0.202 0.500
Te: 0.291 0.709 0.000
Te: 0.709 0.291 0.000
Te: 0.798 0.798 0.500
Mo: 0.500 0.500 0.500

- Energy above the most stable polymorph in this dataset: 0 meV/atom
- Total moment: 3.30 Bohr magnetons per cell
- Raw formation energy: 0.0232 eV per atom


# 7
A plane-wave DFT calculation with PBE was carried out for MnTeMo2 after structural relaxation.

abc: 5.157 5.157 5.157
angles: 142.13 128.68 65.52
Sites, in units of the cell vectors:
Mn: 0.000 0.000 0.000
Te: 0.759 0.259 0.500
Mo: 0.246 0.746 0.500
Mo: 0.502 0.502 0.000

- Total moment: 2.33 Bohr magnetons per cell
- Raw formation energy: 0.3443 eV per atom


# 8
A plane-wave DFT calculation with PBE was carried out for MnTeMo after structural relaxation.

abc: 5.045 5.045 5.045
angles: 140.42 140.42 57.21
Sites, in units of the cell vectors:
Mn: 0.000 0.000 0.000
Te: 0.671 0.671 0.000
Mo: 0.342 0.342 0.000

- Energy above the most stable polymorph in this dataset: 188 meV/atom
- Total moment: 3.40 Bohr magnetons per cell
- Raw formation energy: 0.3621 eV per atom


# 9
A plane-wave DFT calculation with PBE was carried out for MnTeMo2 after structural relaxation.

abc: 4.463 4.463 4.463
angles: 60.00 60.00 60.00
Sites, in units of the cell vectors:
Mn: 0.000 0.000 0.000
Te: 0.750 0.750 0.750
Mo: 0.250 0.250 0.250
Mo: 0.500 0.500 0.500

- Total moment: 0.55 Bohr magnetons per cell
- Raw formation energy: 0.5103 eV per atom


# 10
A plane-wave DFT calculation with PBE was carried out for MnTeMo2 after structural relaxation.

abc: 2.967 2.967 8.731
angles: 90.00 90.00 111.53
Sites, in units of the cell vectors:
Mn: 0.000 0.000 0.000
Te: 0.500 0.500 0.264
Mo: 0.000 0.000 0.548
Mo: 0.500 0.500 0.772

- Total moment: 3.13 Bohr magnetons per cell
- Raw formation energy: 0.5108 eV per atom


# 11
A plane-wave DFT calculation with PBE was carried out for MnTe4Mo after structural relaxation.

abc: 6.296 6.296 6.296
angles: 60.00 60.00 60.00
Sites, in units of the cell vectors:
Mn: 0.000 0.000 0.000
Te: 0.375 0.375 0.375
Te: 0.375 0.375 0.875
Te: 0.375 0.875 0.375
Te: 0.875 0.375 0.375
Mo: 0.750 0.750 0.750

- Energy above the most stable polymorph in this dataset: 1211 meV/atom
- Total moment: 9.58 Bohr magnetons per cell
- Raw formation energy: 1.2347 eV per atom


# 12
A plane-wave DFT calculation with PBE was carried out for MnTe6Mo after structural relaxation.

abc: 6.356 6.683 6.710
angles: 88.16 63.63 61.92
Sites, in units of the cell vectors:
Mn: 0.000 0.000 0.000
Te: 0.123 0.590 0.811
Te: 0.168 0.787 0.285
Te: 0.492 0.101 0.298
Te: 0.508 0.899 0.702
Te: 0.832 0.213 0.715
Te: 0.877 0.410 0.189
Mo: 0.000 0.500 0.500

- Total moment: 2.40 Bohr magnetons per cell
- Raw formation energy: -0.0130 eV per atom